(1)
VASP calculation (GGA-PBE) on a relaxed structure of Er3OsCl2O6.

Properties
Energy relative to the elements, uncorrected = -2234 meV per atom
M_tot = 6.01 μB/cell

Structure (CIF):
```
data_Er3OsCl2O6
_chemical_formula_sum 'Er6 Os2 Cl4 O12'
_cell_length_a 11.283
_cell_length_b 6.473
_cell_length_c 5.465
_cell_angle_alpha 90.00
_cell_angle_beta 99.79
_cell_angle_gamma 90.00
_symmetry_space_group_name_H-M 'C 1 2/m 1'
_symmetry_Int_Tables_number 12
loop_
_symmetry_equiv_pos_as_xyz
'x,y,z'
'-x,-y,-z'
'-x,y,-z'
'x,-y,z'
'x+1/2,y+1/2,z'
'-x+1/2,-y+1/2,-z'
'-x+1/2,y+1/2,-z'
'x+1/2,-y+1/2,z'
loop_
_atom_site_label
_atom_site_type_symbol
_atom_site_fract_x
_atom_site_fract_y
_atom_site_fract_z
Er1 Er 0.000 0.000 0.000
Er2 Er 0.250 0.250 0.500
Os1 Os 0.000 0.500 0.500
Cl1 Cl 0.208 0.000 0.851
O1 O 0.058 0.261 0.296
O2 O 0.169 0.500 0.673
```

(2)
VASP calculation (GGA-PBE) on a relaxed structure of Th8Tl2Tc3.

Properties
M_tot = 0.00 μB/cell
E_form = -0.099 eV/atom

Structure (CIF):
```
data_Th8Tl2Tc3
_chemical_formula_sum 'Th8 Tl2 Tc3'
_cell_length_a 8.874
_cell_length_b 3.979
_cell_length_c 10.684
_cell_angle_alpha 90.00
_cell_angle_beta 99.59
_cell_angle_gamma 90.00
_symmetry_space_group_name_H-M 'P 1 2/m 1'
_symmetry_Int_Tables_number 10
loop_
_symmetry_equiv_pos_as_xyz
'x,y,z'
'-x,-y,-z'
'-x,y,-z'
'x,-y,z'
loop_
_atom_site_label
_atom_site_type_symbol
_atom_site_fract_x
_atom_site_fract_y
_atom_site_fract_z
Th1 Th 0.018 0.000 0.333
Th2 Th 0.201 0.500 0.111
Th3 Th 0.275 0.500 0.564
Th4 Th 0.355 0.000 0.869
Tl1 Tl 0.412 0.000 0.348
Tc1 Tc 0.000 0.000 0.000
Tc2 Tc 0.136 0.500 0.818
```

(3)
VASP calculation (GGA-PBE) on a relaxed structure of BiSb.

Properties
Energy relative to the elements, uncorrected = 160 meV per atom
Energy above the most stable polymorph in this dataset = 166 meV/atom
M_tot = 0.00 μB/cell

Structure (CIF):
```
data_BiSb
_chemical_formula_sum 'Bi8 Sb8'
_cell_length_a 10.608
_cell_length_b 10.608
_cell_length_c 6.203
_cell_angle_alpha 90.00
_cell_angle_beta 90.00
_cell_angle_gamma 90.00
_symmetry_space_group_name_H-M 'P 4/m c c'
_symmetry_Int_Tables_number 124
_symmetry_space_group_name_Hall '-P 4 2c'
loop_
_atom_site_label
_atom_site_type_symbol
_atom_site_fract_x
_atom_site_fract_y
_atom_site_fract_z
Bi1 Bi 0.115 0.332 0.000
Sb1 Sb 0.169 0.386 0.500
```

(4)
VASP calculation (GGA-PBE) on a relaxed structure of NdGdSnPt.

Properties
M_tot = 28.78 μB/cell
E_form = -0.804 eV/atom

Structure (CIF):
```
data_NdGdSnPt
_chemical_formula_sum 'Nd4 Gd4 Sn4 Pt4'
_cell_length_a 7.430
_cell_length_b 7.430
_cell_length_c 7.430
_cell_angle_alpha 90.00
_cell_angle_beta 90.00
_cell_angle_gamma 90.00
_symmetry_space_group_name_H-M 'F -4 3 m'
_symmetry_Int_Tables_number 216
_symmetry_space_group_name_Hall 'F -4 2 3'
loop_
_atom_site_label
_atom_site_type_symbol
_atom_site_fract_x
_atom_site_fract_y
_atom_site_fract_z
Nd1 Nd 0.000 0.000 0.000
Gd1 Gd 0.000 0.000 0.500
Sn1 Sn 0.250 0.250 0.750
Pt1 Pt 0.250 0.250 0.250
```

(5)
VASP calculation (GGA-PBE) on a relaxed structure of Si2HgB.

Properties
Energy relative to the elements, uncorrected = 1314 meV per atom
Energy above the most stable polymorph in this dataset = 891 meV/atom
M_tot = 0.00 μB/cell

Structure (CIF):
```
data_Si2HgB
_chemical_formula_sum 'Si8 Hg4 B4'
_cell_length_a 6.379
_cell_length_b 6.379
_cell_length_c 6.379
_cell_angle_alpha 90.00
_cell_angle_beta 90.00
_cell_angle_gamma 90.00
_symmetry_space_group_name_H-M 'F m -3 m'
_symmetry_Int_Tables_number 225
_symmetry_space_group_name_Hall '-F 4 2 3'
loop_
_atom_site_label
_atom_site_type_symbol
_atom_site_fract_x
_atom_site_fract_y
_atom_site_fract_z
Si1 Si 0.250 0.250 0.250
Hg1 Hg 0.000 0.000 0.000
B1 B 0.000 0.000 0.500
```

(6)
VASP calculation (GGA-PBE) on a relaxed structure of AlSi2Ir.

Properties
Energy relative to the elements, uncorrected = -47 meV per atom
Energy above the most stable polymorph in this dataset = 154 meV/atom
M_tot = 0.00 μB/cell

Structure (CIF):
```
data_AlSi2Ir
_chemical_formula_sum 'Al2 Si4 Ir2'
_cell_length_a 3.886
_cell_length_b 3.886
_cell_length_c 7.433
_cell_angle_alpha 90.00
_cell_angle_beta 90.00
_cell_angle_gamma 90.00
_symmetry_space_group_name_H-M 'I -4 m 2'
_symmetry_Int_Tables_number 119
_symmetry_space_group_name_Hall 'I -4 -2'
loop_
_atom_site_label
_atom_site_type_symbol
_atom_site_fract_x
_atom_site_fract_y
_atom_site_fract_z
Al1 Al 0.000 0.000 0.000
Si1 Si 0.000 0.000 0.500
Si2 Si 0.000 0.500 0.250
Ir1 Ir 0.000 0.500 0.750
```

(7)
VASP calculation (GGA-PBE) on a relaxed structure of CaPW2.

Properties
Energy above the most stable polymorph in this dataset = 1093 meV/atom
M_tot = 0.00 μB/cell
E_form = 1.184 eV/atom

Structure (CIF):
```
data_CaPW2
_chemical_formula_sum 'Ca4 P4 W8'
_cell_length_a 6.353
_cell_length_b 6.353
_cell_length_c 6.353
_cell_angle_alpha 90.00
_cell_angle_beta 90.00
_cell_angle_gamma 90.00
_symmetry_space_group_name_H-M 'F m -3 m'
_symmetry_Int_Tables_number 225
_symmetry_space_group_name_Hall '-F 4 2 3'
loop_
_atom_site_label
_atom_site_type_symbol
_atom_site_fract_x
_atom_site_fract_y
_atom_site_fract_z
Ca1 Ca 0.000 0.000 0.000
P1 P 0.000 0.000 0.500
W1 W 0.250 0.250 0.250
```

(8)
VASP calculation (GGA-PBE) on a relaxed structure of Li2Ca4Tl.

Properties
Energy above the most stable polymorph in this dataset = 206 meV/atom
M_tot = 0.00 μB/cell
E_form = 0.131 eV/atom

Structure (CIF):
```
data_Li2Ca4Tl
_chemical_formula_sum 'Li4 Ca8 Tl2'
_cell_length_a 5.996
_cell_length_b 5.996
_cell_length_c 15.960
_cell_angle_alpha 90.00
_cell_angle_beta 90.00
_cell_angle_gamma 90.00
_symmetry_space_group_name_H-M 'I 4/m m m'
_symmetry_Int_Tables_number 139
_symmetry_space_group_name_Hall '-I 4 2'
loop_
_atom_site_label
_atom_site_type_symbol
_atom_site_fract_x
_atom_site_fract_y
_atom_site_fract_z
Li1 Li 0.000 0.000 0.100
Ca1 Ca 0.000 0.000 0.308
Ca2 Ca 0.000 0.500 0.000
Tl1 Tl 0.000 0.000 0.500
```

What is the formula in the sixth record?
AlSi2Ir